! LiFePO4 PBE+U relaxed; values from VASP
&SYSTEM
  ibrav = 0, nat = 84, ntyp = 4
/
ATOMIC_SPECIES
Li 6.94 Li.upf
Fe 55.84 Fe.upf
P 30.97 P.upf
O 16.00 O.upf
CELL_PARAMETERS angstrom
-6.271 4.041 3.054
-3.502 0.734 -8.163
-10.989 -12.204 -6.420
ATOMIC_POSITIONS crystal
Li 0.272 0.485 0.748
Li 0.728 0.515 0.252
Li 0.228 0.485 0.248
Li 0.772 0.515 0.752
Li 0.930 0.818 0.446
Li 0.483 0.181 0.611
Li 0.430 0.183 0.054
Li 0.570 0.817 0.946
Li 0.017 0.181 0.111
Li 0.517 0.819 0.389
Li 0.983 0.819 0.889
Li 0.070 0.182 0.554
Fe 0.219 0.812 0.269
Fe 0.256 0.546 0.058
Fe 0.719 0.188 0.231
Fe 0.756 0.881 0.098
Fe 0.244 0.546 0.558
Fe 0.744 0.881 0.598
Fe 0.756 0.454 0.442
Fe 0.781 0.188 0.731
Fe 0.281 0.812 0.769
Fe 0.744 0.454 0.942
Fe 0.256 0.119 0.402
Fe 0.244 0.119 0.902
P 0.844 0.823 0.283
P 0.644 0.554 0.575
P 0.352 0.847 0.095
P 0.148 0.847 0.595
P 0.648 0.153 0.905
P 0.344 0.177 0.217
P 0.857 0.554 0.075
P 0.143 0.446 0.925
P 0.656 0.823 0.783
P 0.156 0.177 0.717
P 0.852 0.153 0.405
P 0.356 0.446 0.425
O 0.280 0.079 0.690
O 0.248 0.729 0.181
O 0.608 0.256 0.952
O 0.993 0.208 0.664
O 0.488 0.093 0.880
O 0.752 0.271 0.819
O 0.775 0.595 0.501
O 0.748 0.271 0.319
O 0.119 0.650 0.866
O 0.706 0.624 0.634
O 0.020 0.647 0.027
O 0.520 0.353 0.473
O 0.880 0.937 0.180
O 0.988 0.907 0.620
O 0.007 0.792 0.336
O 0.205 0.376 0.866
O 0.012 0.093 0.380
O 0.380 0.063 0.320
O 0.381 0.650 0.366
O 0.752 0.984 0.468
O 0.392 0.744 0.048
O 0.725 0.595 0.001
O 0.795 0.624 0.134
O 0.769 0.644 0.306
O 0.507 0.208 0.164
O 0.221 0.079 0.190
O 0.275 0.405 0.999
O 0.512 0.907 0.120
O 0.892 0.256 0.452
O 0.731 0.643 0.806
O 0.252 0.016 0.032
O 0.619 0.350 0.634
O 0.493 0.792 0.836
O 0.231 0.356 0.694
O 0.748 0.984 0.968
O 0.120 0.063 0.820
O 0.108 0.744 0.548
O 0.720 0.921 0.310
O 0.294 0.376 0.366
O 0.779 0.921 0.810
O 0.225 0.405 0.499
O 0.881 0.350 0.134
O 0.980 0.353 0.973
O 0.269 0.357 0.194
O 0.252 0.729 0.681
O 0.620 0.937 0.680
O 0.248 0.016 0.532
O 0.480 0.647 0.527
! Energy above the most stable polymorph in this dataset = 0.044 eV per atom
! Space group = P2_1/c (14)
! Total DFT energy (no corrections) = -570.2 eV/cell
! Fermi-level density of states = 0.00 states/eV per atom